An optimized crystal structure of PaAl6Fe3, computed with PBE.

Cell lengths 6.803, 8.726, 5.235 Å; angles 79.80, 115.86, 144.57 degrees
Last column: magnetic moment on the atom in μB.
Fractional positions:
Pa 0.707 0.854 0.708  -0.01
Al 0.519 0.385 0.698  0.00
Al 0.191 0.827 0.223  0.00
Al 0.915 0.210 0.237  0.00
Al 0.222 0.889 0.724  0.00
Al 0.870 0.338 0.679  0.00
Al 0.503 0.491 0.167  0.00
Fe 0.642 0.300 0.145  0.19
Fe 0.388 0.699 0.184  -0.02
Fe 0.043 0.008 0.234  0.00

SG ... No. 1
Crystal system ... triclinic
E_form ... -0.258 eV per atom

=====

An optimized crystal structure of Zn2CdAs, computed with PBE.

Cell lengths 5.069, 5.069, 2.971 Å; angles 90.02, 90.02, 106.48 degrees
Fractional positions:
As 0.500 0.000 0.500
Cd 0.000 0.500 0.500
Zn 0.000 0.000 0.000
Zn 0.500 0.500 0.000

SG ... No. 65
Crystal system ... orthorhombic
Distance to the lowest polymorph of the same formula ... 66 meV/atom
E_form ... 0.141 eV per atom

=====

An optimized crystal structure of AsPI3, computed with PBE.

Cell lengths 5.736, 5.736, 5.736 Å; angles 90.00, 90.00, 90.00 degrees
Last column: magnetic moment on the atom in μB.
Fractional positions:
I 0.000 0.500 0.000  0.03
I 0.000 0.000 0.500  0.01
I 0.500 0.000 0.000  0.05
P 0.500 0.500 0.500  1.10
As 0.000 0.000 0.000  0.04

Energy relative to the elements, uncorrected ... 0.67 eV/atom
SG ... No. 221
Crystal system ... cubic
Distance to the lowest polymorph of the same formula ... 33 meV/atom

=====

An optimized crystal structure of Pr5Ga2, computed with PBE.

Cell lengths 6.732, 8.129, 9.236 Å; angles 116.11, 111.37, 90.00 degrees
Fractional positions:
Pr 0.078 0.235 0.156
Pr 0.922 0.765 0.844
Pr 0.578 0.921 0.156
Pr 0.422 0.079 0.844
Pr 0.488 0.738 0.476
Pr 0.012 0.262 0.524
Pr 0.512 0.262 0.524
Pr 0.988 0.738 0.476
Pr 0.750 0.500 0.000
Pr 0.250 0.500 0.000
Ga 0.374 0.643 0.748
Ga 0.626 0.357 0.252
Ga 0.874 0.105 0.748
Ga 0.126 0.895 0.252

SG ... No. 72
Crystal system ... orthorhombic
E_form ... -0.293 eV per atom

=====

An optimized crystal structure of Te4WBr, computed with PBE.

Cell lengths 6.090, 8.338, 9.293 Å; angles 116.66, 88.09, 90.00 degrees
Fractional positions:
Te 0.212 0.686 0.373
Te 0.459 0.201 0.796
Te 0.000 0.234 0.000
Te 0.541 0.404 0.204
Te 0.788 0.314 0.627
Te 0.541 0.799 0.204
Te 0.000 0.766 0.000
Te 0.459 0.596 0.796
W 0.250 0.513 0.027
W 0.750 0.487 0.973
Br 0.841 0.799 0.598
Br 0.159 0.201 0.402

Energy relative to the elements, uncorrected ... 0.01 eV/atom
SG ... No. 12
Crystal system ... monoclinic

=====

An optimized crystal structure of RbDyI3, computed with PBE.

Cell lengths 6.061, 6.061, 6.061 Å; angles 90.00, 90.00, 90.00 degrees
Fractional positions:
I 0.000 0.500 0.000
I 0.000 0.000 0.500
I 0.500 0.000 0.000
Rb 0.500 0.500 0.500
Dy 0.000 0.000 0.000

Energy relative to the elements, uncorrected ... -1.19 eV/atom
SG ... No. 221
Crystal system ... cubic
Distance to the lowest polymorph of the same formula ... 39 meV/atom

=====

An optimized crystal structure of PuPa2Sb, computed with PBE.

Cell lengths 5.225, 5.225, 5.225 Å; angles 60.00, 60.00, 60.00 degrees
Last column: magnetic moment on the atom in μB.
Fractional positions:
Sb 0.500 0.500 0.500  -0.02
Pa 0.250 0.250 0.250  0.75
Pa 0.750 0.750 0.750  0.75
Pu 0.000 0.000 0.000  5.53

Energy relative to the elements, uncorrected ... -0.10 eV/atom
SG ... No. 225
Crystal system ... cubic
Distance to the lowest polymorph of the same formula ... 235 meV/atom

=====

An optimized crystal structure of AlNiRu, computed with PBE.

Cell lengths 4.371, 2.788, 12.719 Å; angles 90.00, 90.97, 90.00 degrees
Fractional positions:
Ru 0.809 0.000 0.330
Ru 0.809 0.500 0.830
Ru 0.641 0.000 0.662
Ru 0.641 0.500 0.162
Al 0.801 0.000 0.999
Al 0.801 0.500 0.499
Al 0.297 0.000 0.826
Al 0.297 0.500 0.326
Ni 0.303 0.000 0.490
Ni 0.303 0.500 0.990
Ni 0.149 0.000 0.157
Ni 0.149 0.500 0.657

SG ... No. 8
Crystal system ... monoclinic
E_form ... -0.368 eV per atom

=====

An optimized crystal structure of LaNiW2, computed with PBE.

Cell lengths 5.695, 5.695, 5.695 Å; angles 139.86, 139.86, 58.06 degrees
Fractional positions:
La 0.250 0.750 0.500
Ni 0.750 0.250 0.500
W 0.000 0.000 0.000
W 0.500 0.500 0.000

SG ... No. 139
Crystal system ... tetragonal
Distance to the lowest polymorph of the same formula ... 465 meV/atom
E_form ... 0.772 eV per atom

=====

An optimized crystal structure of Pr4Tm2Th, computed with PBE.

Cell lengths 7.293, 11.764, 11.764 Å; angles 79.45, 90.00, 90.00 degrees
Fractional positions:
Pr 0.250 0.264 0.504
Pr 0.750 0.264 0.504
Pr 0.250 0.996 0.236
Pr 0.750 0.004 0.764
Pr 0.750 0.996 0.236
Pr 0.250 0.004 0.764
Pr 0.750 0.736 0.496
Pr 0.250 0.736 0.496
Pr 0.250 0.764 0.004
Pr 0.750 0.764 0.004
Pr 0.250 0.496 0.736
Pr 0.750 0.504 0.264
Pr 0.750 0.496 0.736
Pr 0.250 0.504 0.264
Pr 0.750 0.236 0.996
Pr 0.250 0.236 0.996
Tm 0.500 0.250 0.250
Tm 0.000 0.250 0.750
Tm 0.000 0.750 0.250
Tm 0.500 0.750 0.750
Tm 0.500 0.750 0.250
Tm 0.000 0.750 0.750
Tm 0.500 0.250 0.750
Tm 0.000 0.250 0.250
Th 0.500 0.000 0.500
Th 0.000 0.000 0.500
Th 0.500 0.500 0.000
Th 0.000 0.500 0.000

SG ... No. 47
Crystal system ... orthorhombic
Distance to the lowest polymorph of the same formula ... 0 meV/atom
E_form ... 0.187 eV per atom

=====

An optimized crystal structure of Li2NiAg, computed with PBE.

Cell lengths 3.371, 4.146, 4.001 Å; angles 90.00, 90.00, 90.00 degrees
Fractional positions:
Ag 0.000 0.500 0.500
Li 0.000 0.000 0.000
Li 0.500 0.500 0.000
Ni 0.500 0.000 0.500

SG ... No. 47
Crystal system ... orthorhombic
E_form ... -0.011 eV per atom

=====

An optimized crystal structure of Dy4ThSc5, computed with PBE.

Cell lengths 5.366, 11.367, 8.103 Å; angles 137.05, 109.34, 90.00 degrees
Fractional positions:
Dy 0.384 0.140 0.768
Dy 0.126 0.374 0.252
Dy 0.616 0.860 0.232
Dy 0.874 0.626 0.748
Th 0.500 0.000 0.000
Sc 0.846 0.294 0.693
Sc 0.839 0.895 0.679
Sc 0.161 0.105 0.321
Sc 0.500 0.500 0.000
Sc 0.154 0.706 0.307

SG ... No. 12
Crystal system ... monoclinic
Distance to the lowest polymorph of the same formula ... 0 meV/atom
E_form ... 0.259 eV per atom

=====

An optimized crystal structure of TlZnF3, computed with PBE.

Cell lengths 3.778, 3.778, 14.363 Å; angles 90.00, 90.00, 120.00 degrees
Fractional positions:
Tl 0.000 0.000 0.000
Tl 0.000 0.000 0.500
Zn 0.333 0.667 0.750
Zn 0.667 0.333 0.250
F 0.000 0.000 0.250
F 0.000 0.000 0.750
F 0.333 0.667 0.883
F 0.333 0.667 0.617
F 0.667 0.333 0.383
F 0.667 0.333 0.117

Energy relative to the elements, uncorrected ... -2.04 eV/atom
SG ... No. 194
Crystal system ... hexagonal

=====

An optimized crystal structure of ZrGe2SbSe, computed with PBE.

Cell lengths 5.233, 5.488, 5.233 Å; angles 90.00, 90.00, 90.00 degrees
Fractional positions:
Sb 0.000 0.000 0.000
Ge 0.000 0.000 0.500
Ge 0.500 0.000 0.000
Se 0.500 0.500 0.500
Zr 0.000 0.500 0.000

Energy relative to the elements, uncorrected ... 0.83 eV/atom
SG ... No. 123
Crystal system ... tetragonal
Distance to the lowest polymorph of the same formula ... 502 meV/atom

=====

An optimized crystal structure of LiAcPuPd, computed with PBE.

Cell lengths 5.253, 5.253, 5.253 Å; angles 60.00, 60.00, 60.00 degrees
Last column: magnetic moment on the atom in μB.
Fractional positions:
Ac 0.000 0.000 0.000  0.05
Li 0.250 0.250 0.250  0.02
Pd 0.750 0.750 0.750  -0.04
Pu 0.500 0.500 0.500  5.47

SG ... No. 216
Crystal system ... cubic
E_form ... -0.114 eV per atom

=====

An optimized crystal structure of Pm6Y3Tm2Sc, computed with PBE.

Cell lengths 6.205, 6.205, 11.709 Å; angles 95.05, 95.05, 119.98 degrees
Fractional positions:
Pm 0.919 0.588 0.755
Pm 0.750 0.750 0.245
Pm 0.081 0.412 0.245
Pm 0.588 0.919 0.755
Pm 0.250 0.250 0.755
Pm 0.412 0.081 0.245
Y 0.167 0.833 0.500
Y 0.833 0.167 0.500
Y 0.500 0.500 0.500
Tm 0.333 0.667 0.000
Tm 0.667 0.333 0.000
Sc 0.000 0.000 0.000

SG ... No. 12
Crystal system ... monoclinic
E_form ... 0.025 eV per atom

=====

An optimized crystal structure of Tl2Sn3Pb2, computed with PBE.

Cell lengths 3.485, 6.128, 10.230 Å; angles 93.51, 90.00, 106.52 degrees
Fractional positions:
Tl 0.142 0.284 0.578
Tl 0.858 0.716 0.422
Sn 0.286 0.573 0.132
Sn 0.000 0.000 0.000
Sn 0.714 0.427 0.868
Pb 0.574 0.149 0.274
Pb 0.426 0.851 0.726

SG ... No. 12
Crystal system ... monoclinic
Distance to the lowest polymorph of the same formula ... 0 meV/atom
E_form ... 0.025 eV per atom

=====

An optimized crystal structure of CuOsW, computed with PBE.

Cell lengths 7.035, 6.839, 2.673 Å; angles 83.04, 74.80, 22.16 degrees
Fractional positions:
Cu 0.000 0.000 0.000
Os 0.333 0.333 0.667
W 0.667 0.667 0.333

SG ... No. 42
Crystal system ... orthorhombic
Distance to the lowest polymorph of the same formula ... 261 meV/atom
E_form ... 0.420 eV per atom

=====

An optimized crystal structure of BaAl2H8, computed with PBE.

Cell lengths 5.079, 6.877, 5.085 Å; angles 68.34, 60.04, 90.00 degrees
Fractional positions:
Ba 0.000 0.000 0.000
Al 0.774 0.320 0.453
Al 0.226 0.680 0.547
H 0.922 0.787 0.646
H 0.568 0.213 0.354
H 0.859 0.580 0.281
H 0.141 0.420 0.719
H 0.432 0.787 0.646
H 0.078 0.213 0.354
H 0.569 0.213 0.863
H 0.431 0.787 0.137

SG ... No. 12
Crystal system ... monoclinic
Distance to the lowest polymorph of the same formula ... 0 meV/atom

=====

An optimized crystal structure of Tb2Pr5Er2, computed with PBE.

Cell lengths 13.003, 5.665, 11.976 Å; angles 118.20, 122.88, 90.00 degrees
Fractional positions:
Tb 0.947 0.825 0.949
Tb 0.502 0.325 0.949
Tb 0.028 0.221 0.348
Tb 0.819 0.721 0.348
Pr 0.350 0.861 0.989
Pr 0.689 0.935 0.059
Pr 0.138 0.361 0.989
Pr 0.871 0.435 0.059
Pr 0.294 0.153 0.279
Pr 0.623 0.515 0.663
Pr 0.484 0.653 0.279
Pr 0.540 0.015 0.663
Pr 0.167 0.034 0.663
Pr 0.997 0.534 0.663
Er 0.214 0.760 0.385
Er 0.810 0.033 0.665
Er 0.671 0.260 0.385
Er 0.355 0.533 0.665

SG ... No. 9
Crystal system ... monoclinic
Distance to the lowest polymorph of the same formula ... 66 meV/atom
E_form ... 0.085 eV per atom

=====

An optimized crystal structure of KAl2Hg, computed with PBE.

Cell lengths 5.344, 5.344, 5.344 Å; angles 127.69, 117.38, 85.91 degrees
Fractional positions:
K 0.245 0.745 0.500
Hg 0.532 0.532 0.000
Al 0.958 0.958 0.000
Al 0.765 0.265 0.500

SG ... No. 44
Crystal system ... orthorhombic
E_form ... 0.259 eV per atom

=====

An optimized crystal structure of Pu4C2I5, computed with PBE.

Cell lengths 3.988, 8.662, 9.903 Å; angles 101.59, 101.62, 90.00 degrees
Last column: magnetic moment on the atom in μB.
Fractional positions:
Pu 0.657 0.574 0.313  5.24
Pu 0.000 0.681 0.000  5.25
Pu 0.343 0.426 0.687  5.24
Pu 0.000 0.319 0.000  5.25
C 0.537 0.517 0.075  -0.12
C 0.463 0.483 0.925  -0.12
I 0.163 0.848 0.325  -0.06
I 0.837 0.152 0.675  -0.06
I 0.168 0.305 0.336  -0.06
I 0.500 0.000 0.000  -0.04
I 0.832 0.695 0.664  -0.06

Energy relative to the elements, uncorrected ... -0.76 eV/atom
SG ... No. 12
Crystal system ... monoclinic

=====

An optimized crystal structure of Cu15PtAu4, computed with PBE.

Cell lengths 3.787, 3.787, 18.704 Å; angles 90.00, 90.00, 90.00 degrees
Fractional positions:
Cu 0.500 0.500 0.000
Cu 0.500 0.500 0.198
Cu 0.500 0.500 0.399
Cu 0.500 0.500 0.601
Cu 0.500 0.500 0.802
Cu 0.500 0.000 0.097
Cu 0.500 0.000 0.298
Cu 0.500 0.000 0.500
Cu 0.500 0.000 0.702
Cu 0.500 0.000 0.903
Cu 0.000 0.500 0.097
Cu 0.000 0.500 0.298
Cu 0.000 0.500 0.500
Cu 0.000 0.500 0.702
Cu 0.000 0.500 0.903
Pt 0.000 0.000 0.000
Au 0.000 0.000 0.198
Au 0.000 0.000 0.399
Au 0.000 0.000 0.601
Au 0.000 0.000 0.802

SG ... No. 123
Crystal system ... tetragonal
E_form ... -0.068 eV per atom